Record 1
## Ac2HoMgS6 (PBE)

Data for Ac2HoMgS6 after structural relaxation.

Output
The value obtained for the energy relative to the elements, uncorrected is -1.817 eV per atom.

Cell: 6.672 7.535 9.900 Å, 90.00 91.40 90.00°
Positions (direct):
Ac 0.536 0.596 0.748
S 0.328 0.690 0.444
Mg 0.000 0.500 0.000
S 0.681 0.314 0.945
S 0.388 0.969 0.742
S 0.172 0.190 0.056
Ho 0.000 0.500 0.500
S 0.888 0.531 0.242
Mg 0.500 0.000 0.500
S 0.112 0.469 0.758
S 0.319 0.686 0.055
S 0.181 0.186 0.445
Ac 0.464 0.404 0.252
S 0.828 0.810 0.944
Ac 0.036 0.904 0.248
Ho 0.500 0.000 0.000
Ac 0.964 0.096 0.752
S 0.672 0.310 0.556
S 0.612 0.031 0.258
S 0.819 0.814 0.555

Record 2
## Ac3Ho3MgSe8 (PBE)

Data for Ac3Ho3MgSe8 after structural relaxation.

Output
The value obtained for the energy relative to the elements, uncorrected is -1.768 eV per atom.

Cell: 8.319 8.320 8.604 Å, 118.91 90.00 120.00°
Positions (direct):
Ho 0.500 0.000 0.500
Ho 0.000 0.500 0.500
Ac 0.500 0.500 0.000
Se 0.260 0.520 0.280
Ac 0.000 0.000 0.000
Mg 0.000 0.000 0.500
Se 0.238 0.475 0.719
Se 0.762 0.525 0.281
Se 0.238 0.981 0.719
Se 0.744 0.981 0.719
Se 0.256 0.019 0.281
Ac 0.000 0.500 0.000
Ho 0.500 0.500 0.500
Se 0.740 0.480 0.720
Se 0.762 0.019 0.281

Record 3
## AcHoMgSi (PBE)

Data for AcHoMgSi after structural relaxation.

Output
The value obtained for the energy relative to the elements, uncorrected is -0.173 eV per atom.

Cell: 5.334 5.334 5.334 Å, 60.00 60.00 60.00°
Positions (direct):
Ac 0.500 0.500 0.500
Ho 0.000 0.000 0.000
Si 0.750 0.750 0.750
Mg 0.250 0.250 0.250

Record 4
## AcSmHoMg (PBE)

Data for AcSmHoMg after structural relaxation.

Output
For the energy of formation from the pure elements, the calculation gives 134 meV per atom.

Cell: 5.721 5.721 5.721 Å, 60.00 60.00 60.00°
Positions (direct):
Sm 0.750 0.750 0.750
Ho 0.250 0.250 0.250
Ac 0.500 0.500 0.500
Mg 0.000 0.000 0.000

Record 5
## AcHoMgSn (PBE)

Data for AcHoMgSn after structural relaxation.

Output
For the energy of formation from the pure elements, the calculation gives -332 meV per atom.

Cell: 5.538 5.538 5.538 Å, 60.00 60.00 60.00°
Positions (direct):
Ho 0.000 0.000 0.000
Mg 0.750 0.750 0.750
Ac 0.500 0.500 0.500
Sn 0.250 0.250 0.250

Record 6
## SrAcHoMg (PBE)

Data for SrAcHoMg after structural relaxation.

Output
For the energy of formation from the pure elements, the calculation gives 185 meV per atom.

Cell: 5.930 5.930 5.930 Å, 60.00 60.00 60.00°
Positions (direct):
Sr 0.250 0.250 0.250
Mg 0.500 0.500 0.500
Ac 0.000 0.000 0.000
Ho 0.750 0.750 0.750